## InSb2Te (PBE)

Data for a geometry-optimized InSb2Te structure.

Values from the calculation:
Formation energy from raw total energies in kJ per mole of atoms: 14.1
ΔE to the lowest computed polymorph in meV/atom: 232

Cell and atoms, written as POSCAR:
```
InSb2Te
1.0
3.2566 0.0236 0.0000
-0.9968 3.1004 0.0000
0.0000 0.0000 11.2688
In Sb Te
1 2 1
direct
0.5000 0.5000 0.7523
0.0000 0.0000 0.0102
0.5000 0.5000 0.2332
0.0000 0.0000 0.5044
```